A relaxed structure of Dy6GaCo2. Source: the Alexandria database, functional PBE-GGA.

POSCAR file:
```
Dy6GaCo2
1.0
-4.6203 4.7705 4.9190
4.6203 -4.7705 4.9190
4.6203 4.7705 -4.9190
Dy Ga Co
12 2 4
direct
0.0415 0.2386 0.8029
0.1808 0.2805 0.4613
0.1808 0.7195 0.9003
0.3262 0.0141 0.6879
0.3262 0.6383 0.3121
0.4358 0.2386 0.1971
0.5642 0.7614 0.8029
0.6738 0.3617 0.6879
0.6738 0.9859 0.3121
0.8192 0.2805 0.0997
0.8192 0.7195 0.5387
0.9585 0.7614 0.1971
0.0000 0.0000 0.0000
0.5000 0.5000 0.0000
0.1148 0.6148 0.5000
0.3360 0.0000 0.3360
0.6640 0.0000 0.6640
0.8852 0.3852 0.5000
```

Summary:
final energy	-5.274	eV per atom
N(E_F)	0.796	states/eV/atom
density	8.9	g/cm³



A relaxed structure of DyGaCo2. Source: the Alexandria database, functional PBE-GGA.

POSCAR file:
```
DyGaCo2
1.0
4.2279 0.0000 0.0000
0.0000 4.2279 0.0000
0.0000 0.0000 3.3476
Dy Ga Co
1 1 2
direct
0.0000 0.0000 0.0000
0.5000 0.5000 0.0000
0.0000 0.5000 0.5000
0.5000 0.0000 0.5000
```

Summary:
final energy	-5.636	eV per atom
N(E_F)	0.260	states/eV/atom
density	9.7	g/cm³



A relaxed structure of Dy3Ga8Co3. Source: the Alexandria database, functional PBE-GGA.

POSCAR file:
```
Dy3Ga8Co3
1.0
-2.0670 4.8205 6.0489
2.0670 -4.8205 6.0489
2.0670 4.8205 -6.0489
Dy Ga Co
3 8 3
direct
0.0000 0.0000 0.0000
0.3283 0.3283 0.0000
0.6717 0.6717 0.0000
0.0292 0.6641 0.3650
0.1730 0.8840 0.2890
0.2991 0.6641 0.6350
0.4051 0.1160 0.2890
0.5949 0.8840 0.7110
0.7009 0.3359 0.3650
0.8270 0.1160 0.7110
0.9708 0.3359 0.6350
0.2861 0.5000 0.7861
0.5000 0.0000 0.5000
0.7139 0.5000 0.2139
```

Summary:
final energy	-4.741	eV per atom
N(E_F)	0.712	states/eV/atom
density	8.4	g/cm³



A relaxed structure of Dy3Ga7Co4. Source: the Alexandria database, functional PBE-GGA.

POSCAR file:
```
Dy3Ga7Co4
1.0
7.5497 -2.0603 0.0000
7.5497 2.0603 0.0000
-5.1902 0.0000 7.4954
Dy Ga Co
3 7 4
direct
0.0000 0.0000 0.0000
0.3080 0.3080 0.2964
0.6920 0.6920 0.7036
0.0000 0.0000 0.5000
0.1578 0.1578 0.4178
0.3205 0.3205 0.9719
0.4950 0.4950 0.7198
0.5050 0.5050 0.2802
0.6795 0.6795 0.0281
0.8422 0.8422 0.5822
0.1126 0.1126 0.8314
0.3335 0.3335 0.7124
0.6665 0.6665 0.2876
0.8874 0.8874 0.1686
```

Summary:
final energy	-4.989	eV per atom
N(E_F)	0.800	states/eV/atom
density	8.6	g/cm³



A relaxed structure of DyGa6Co2. Source: the Alexandria database, functional PBE-GGA.

POSCAR file:
```
DyGa6Co2
1.0
0.0000 5.7005 5.7005
5.7005 0.0000 5.7005
5.7005 5.7005 0.0000
Dy Ga Co
2 12 4
direct
0.1250 0.1250 0.1250
0.8750 0.8750 0.8750
0.1472 0.1472 0.6028
0.1472 0.6028 0.1472
0.1472 0.6028 0.6028
0.3972 0.3972 0.8528
0.3972 0.8528 0.3972
0.3972 0.8528 0.8528
0.6028 0.1472 0.1472
0.6028 0.1472 0.6028
0.6028 0.6028 0.1472
0.8528 0.3972 0.3972
0.8528 0.3972 0.8528
0.8528 0.8528 0.3972
0.0000 0.5000 0.5000
0.5000 0.0000 0.5000
0.5000 0.5000 0.0000
0.5000 0.5000 0.5000
```

Summary:
final energy	-3.992	eV per atom
N(E_F)	0.945	states/eV/atom
density	6.3	g/cm³



A relaxed structure of Dy4Ga2Co. Source: the Alexandria database, functional PBE-GGA.

POSCAR file:
```
Dy4Ga2Co
1.0
16.2791 0.0000 0.0000
0.0000 3.7639 0.0000
-2.2365 0.0000 5.6237
Dy Ga Co
8 4 2
direct
0.0883 0.0000 0.4366
0.1256 0.5000 0.9833
0.3744 0.0000 0.0167
0.4117 0.5000 0.5634
0.5883 0.5000 0.4366
0.6256 0.0000 0.9833
0.8744 0.5000 0.0167
0.9117 0.0000 0.5634
0.2392 0.5000 0.6516
0.2608 0.0000 0.3484
0.7392 0.0000 0.6516
0.7608 0.5000 0.3484
0.0000 0.0000 0.0000
0.5000 0.5000 0.0000
```

Summary:
final energy	-4.804	eV per atom
N(E_F)	0.604	states/eV/atom
density	8.2	g/cm³



A relaxed structure of DyGa2Co. Source: the Alexandria database, functional PBE-GGA.

POSCAR file:
```
DyGa2Co
1.0
4.0684 0.0000 0.0000
-2.0342 3.5233 0.0000
0.0000 0.0000 15.1159
Dy Ga Co
3 6 3
direct
0.0000 0.0000 0.0000
0.3333 0.6667 0.6667
0.6667 0.3333 0.3333
0.0000 0.0000 0.2121
0.0000 0.0000 0.7879
0.3333 0.6667 0.4546
0.3333 0.6667 0.8788
0.6667 0.3333 0.1212
0.6667 0.3333 0.5454
0.0000 0.0000 0.5000
0.3333 0.6667 0.1667
0.6667 0.3333 0.8333
```

Summary:
final energy	-4.903	eV per atom
N(E_F)	0.898	states/eV/atom
density	8.3	g/cm³



A relaxed structure of Dy2Ga2Co. Source: the Alexandria database, functional PBE-GGA.

POSCAR file:
```
Dy2Ga2Co
1.0
5.3728 -2.0737 0.0000
5.3728 2.0737 0.0000
-4.8041 0.0000 9.1695
Dy Ga Co
4 4 2
direct
0.0082 0.0082 0.3338
0.1909 0.1909 0.1185
0.8091 0.8091 0.8815
0.9918 0.9918 0.6662
0.3456 0.3456 0.4391
0.4859 0.4859 0.1203
0.5141 0.5141 0.8797
0.6544 0.6544 0.5609
0.2792 0.2792 0.6415
0.7208 0.7208 0.3585
```

Summary:
final energy	-5.005	eV per atom
N(E_F)	0.779	states/eV/atom
density	8.5	g/cm³



A relaxed structure of DyGa6Co. Source: the Alexandria database, functional PBE-GGA.

POSCAR file:
```
DyGa6Co
1.0
2.8879 1.6673 5.5769
-2.8879 1.6673 5.5769
0.0000 -3.3346 5.5769
Dy Ga Co
1 6 1
direct
0.0000 0.0000 0.0000
0.0552 0.5908 0.5908
0.4092 0.4092 0.9448
0.4092 0.9448 0.4092
0.5908 0.0552 0.5908
0.5908 0.5908 0.0552
0.9448 0.4092 0.4092
0.5000 0.5000 0.5000
```

Summary:
final energy	-3.868	eV per atom
N(E_F)	0.578	states/eV/atom
density	6.6	g/cm³



A relaxed structure of Dy2Ga5Co4. Source: the Alexandria database, functional PBE-GGA.

POSCAR file:
```
Dy2Ga5Co4
1.0
0.0000 4.6139 7.4382
2.6168 0.0000 7.4382
2.6168 4.6139 0.0000
Dy Ga Co
2 5 4
direct
0.1480 0.1480 0.8520
0.8520 0.8520 0.1480
0.0000 0.0000 0.5000
0.2500 0.2500 0.2500
0.5000 0.5000 0.0000
0.5000 0.5000 0.5000
0.7500 0.7500 0.7500
0.2174 0.5272 0.4728
0.4728 0.7826 0.2174
0.5272 0.2174 0.7826
0.7826 0.4728 0.5272
```

Summary:
final energy	-5.153	eV per atom
N(E_F)	1.040	states/eV/atom
density	8.4	g/cm³



A relaxed structure of Dy6Ga2Co. Source: the Alexandria database, functional PBE-GGA.

POSCAR file:
```
Dy6Ga2Co
1.0
5.9610 0.0000 0.0000
0.0000 8.2853 0.0000
-5.4336 0.0000 9.4794
Dy Ga Co
12 4 2
direct
0.0626 0.1822 0.4458
0.0626 0.3178 0.9458
0.3271 0.6723 0.4423
0.3271 0.8277 0.9423
0.3638 0.0298 0.2572
0.3638 0.4702 0.7572
0.6362 0.5298 0.2428
0.6362 0.9702 0.7428
0.6729 0.1723 0.0577
0.6729 0.3277 0.5577
0.9374 0.6822 0.0542
0.9374 0.8178 0.5542
0.1741 0.1235 0.7536
0.1741 0.3765 0.2536
0.8259 0.6235 0.7464
0.8259 0.8765 0.2464
0.0000 0.0000 0.0000
0.0000 0.5000 0.5000
```

Summary:
final energy	-4.809	eV per atom
N(E_F)	1.013	states/eV/atom
density	8.3	g/cm³



A relaxed structure of Dy12GaCo5. Source: the Alexandria database, functional PBE-GGA.

POSCAR file:
```
Dy12GaCo5
1.0
-4.6769 4.6854 4.8747
4.6769 -4.6854 4.8747
4.6769 4.6854 -4.8747
Dy Ga Co
12 1 5
direct
0.0219 0.2133 0.8086
0.1857 0.2910 0.4767
0.1857 0.7090 0.8948
0.3165 0.0137 0.6972
0.3165 0.6194 0.3028
0.4046 0.2133 0.1914
0.5954 0.7867 0.8086
0.6835 0.3806 0.6972
0.6835 0.9863 0.3028
0.8143 0.2910 0.1052
0.8143 0.7090 0.5233
0.9781 0.7867 0.1914
0.5000 0.5000 0.0000
0.0000 0.0000 0.0000
0.1136 0.6136 0.5000
0.3759 0.0000 0.3759
0.6241 0.0000 0.6241
0.8864 0.3864 0.5000
```

Summary:
final energy	-5.447	eV per atom
N(E_F)	0.804	states/eV/atom
density	9.0	g/cm³



Question: The lowest density belongs to which entry?
Answer: DyGa6Co2



Question: Which of these has the lowest N(E_F)?
Answer: DyGaCo2